<one>
The following is a PBE-GGA calculation of crystalline Hf3ZrBr at its relaxed geometry, from Alexandria via LeMat-Bulk.

Properties
DOS at the Fermi energy (states/eV/cell): 7.88

Structure (extended XYZ):
```
5
Lattice="-0.256 4.716 -2.243 -5.142 0.164 0.930 0.909 2.252 4.630" Properties=species:S:1:pos:R:3 pbc="T T T"
Hf -2.571 0.082 0.465
Hf 0.455 1.126 2.315
Hf -0.128 2.358 -1.122
Br -2.244 3.566 1.659
Zr 0.000 0.000 0.000
```

***

<two>
The following is a PBE-GGA calculation of crystalline Hf3ZrBr at its relaxed geometry, from Alexandria via LeMat-Bulk.

Properties
DOS at the Fermi energy (states/eV/cell): 3.35

Structure (extended XYZ):
```
5
Lattice="-1.888 -4.431 -1.019 4.124 -1.204 -2.405 1.915 -1.775 4.174" Properties=species:S:1:pos:R:3 pbc="T T T"
Hf 2.062 -0.602 -1.202
Hf 0.958 -0.888 2.087
Hf -0.944 -2.216 -0.509
Br 0.000 0.000 0.000
Zr 2.076 -3.705 0.375
```

***

Going by the energies, <two> is most stable and the next is 77.5 kJ/mol of atoms up.

***

<one>
The following is a PBE-GGA calculation of crystalline Hf2ZrBr at its relaxed geometry, from Alexandria via LeMat-Bulk.

Properties
DOS at the Fermi energy (states/eV/cell): 4.84

Structure (extended XYZ):
```
4
Lattice="3.982 -1.942 -2.311 1.976 -4.297 1.613 -0.479 -4.153 -2.737" Properties=species:S:1:pos:R:3 pbc="T T T"
Hf 1.370 -2.598 -0.859
Hf 4.109 -7.794 -2.577
Br 0.000 0.000 0.000
Zr 2.739 -5.196 -1.718
```

***

<two>
The following is a PBE-GGA calculation of crystalline Hf2ZrBr at its relaxed geometry, from Alexandria via LeMat-Bulk.

Properties
DOS at the Fermi energy (states/eV/cell): 11.53

Structure (extended XYZ):
```
8
Lattice="4.138 0.000 0.000 0.000 4.138 0.000 2.069 2.069 10.664" Properties=species:S:1:pos:R:3 pbc="T T T"
Hf 3.115 1.035 2.666
Hf 1.023 3.104 2.666
Hf 3.104 3.093 7.998
Hf 5.173 5.184 7.998
Br 2.069 2.069 0.000
Br 2.069 4.138 5.332
Zr 0.000 0.000 0.000
Zr 4.138 2.069 5.332
```

***

Going by the energies, <two> is most stable and the next is 4.5 kJ/mol of atoms up.

***

<one>
The following is a PBE-GGA calculation of crystalline HfZrBr3 at its relaxed geometry, from Alexandria via LeMat-Bulk.

Properties
DOS at the Fermi energy (states/eV/cell): 7.29

Structure (extended XYZ):
```
5
Lattice="-2.567 -3.659 -2.953 3.807 0.358 -3.752 2.760 -3.896 2.429" Properties=species:S:1:pos:R:3 pbc="T T T"
Hf 2.000 -3.599 -2.138
Br 1.903 0.179 -1.876
Br 1.380 -1.948 1.214
Br -1.283 -1.829 -1.477
Zr 0.000 0.000 0.000
```

***

<two>
The following is a PBE-GGA calculation of crystalline HfZrBr3 at its relaxed geometry, from Alexandria via LeMat-Bulk.

Properties
DOS at the Fermi energy (states/eV/cell): 5.44

Structure (extended XYZ):
```
5
Lattice="-2.182 3.967 -2.644 -4.632 -2.453 0.142 -1.129 2.395 4.526" Properties=species:S:1:pos:R:3 pbc="T T T"
Hf 0.000 0.000 0.000
Br -2.316 -1.227 0.071
Br -0.565 1.197 2.263
Br -1.091 1.984 -1.322
Zr -3.972 1.955 1.012
```

***

Going by the energies, <two> is most stable and the next is 3.5 kJ/mol of atoms up.

***

<one>
The following is a PBE-GGA calculation of crystalline HgBr at its relaxed geometry, from Alexandria via LeMat-Bulk.

Properties
DOS at the Fermi energy (states/eV/cell): 2.47

Structure (extended XYZ):
```
16
Lattice="13.154 0.000 0.000 0.000 13.154 0.000 0.000 0.000 4.279" Properties=species:S:1:pos:R:3 pbc="T T T"
Hg 9.924 5.630 2.140
Hg 3.230 7.524 2.140
Hg 7.524 9.924 2.140
Hg 5.630 3.230 2.140
Hg 12.137 10.929 0.000
Hg 1.017 2.225 0.000
Hg 2.225 12.137 0.000
Hg 10.929 1.017 0.000
Br 9.622 8.287 2.140
Br 3.532 4.867 2.140
Br 4.867 9.622 2.140
Br 8.287 3.532 2.140
Br 11.530 5.225 0.000
Br 1.624 7.929 0.000
Br 7.929 11.530 0.000
Br 5.225 1.624 0.000
```

***

<two>
The following is a PBE-GGA calculation of crystalline HgBr at its relaxed geometry, from Alexandria via LeMat-Bulk.

Properties
DOS at the Fermi energy (states/eV/cell): 13.16

Structure (extended XYZ):
```
12
Lattice="-3.262 7.049 -3.434 -6.366 -4.552 -3.297 -4.578 1.308 7.033" Properties=species:S:1:pos:R:3 pbc="T T T"
Hg -3.999 -0.514 -2.507
Hg -5.630 3.011 -4.224
Hg -2.775 3.851 0.041
Hg -5.064 4.505 3.557
Hg -3.880 -0.484 2.692
Hg -7.063 -2.760 1.043
Br -3.104 2.416 2.658
Br -4.735 5.941 0.941
Br -4.327 -1.949 0.109
Br -6.616 -1.295 3.626
Br -3.223 2.386 -2.541
Br -6.406 0.110 -4.190
```

***

Going by the energies, <one> is most stable and the next is 18.9 kJ/mol of atoms up.

***

<one>
The following is a PBE-GGA calculation of crystalline HgBr at its relaxed geometry, from Alexandria via LeMat-Bulk.

Properties
DOS at the Fermi energy (states/eV/cell): 0.65

Structure (extended XYZ):
```
4
Lattice="6.230 -0.085 0.044 0.751 6.185 -0.044 -1.973 -4.786 3.467" Properties=species:S:1:pos:R:3 pbc="T T T"
Hg 5.124 -0.434 0.900
Hg -0.116 1.749 2.567
Br 1.998 2.363 0.856
Br 3.010 -1.048 2.611
```

***

<two>
The following is a PBE-GGA calculation of crystalline HgBr at its relaxed geometry, from Alexandria via LeMat-Bulk.

Properties
DOS at the Fermi energy (states/eV/cell): 4.48

Structure (extended XYZ):
```
4
Lattice="-0.203 2.938 -2.522 -3.661 0.676 1.082 2.540 4.917 5.523" Properties=species:S:1:pos:R:3 pbc="T T T"
Hg 1.240 2.401 2.697
Hg 0.003 5.552 3.487
Br 2.373 4.594 5.161
Br -1.130 3.359 1.024
```

***

Going by the energies, <one> is most stable and the next is 19.5 kJ/mol of atoms up.

***

<one>
The following is a PBE-GGA calculation of crystalline HgBr at its relaxed geometry, from Alexandria via LeMat-Bulk.

Properties
DOS at the Fermi energy (states/eV/cell): 2.38

Structure (extended XYZ):
```
4
Lattice="-2.062 -2.720 -4.135 -2.695 -4.553 0.864 -5.309 -0.152 -0.729" Properties=species:S:1:pos:R:3 pbc="T T T"
Hg -5.033 -3.713 -2.000
Hg -7.550 -5.569 -3.000
Br 0.000 0.000 0.000
Br -2.517 -1.856 -1.000
```

***

<two>
The following is a PBE-GGA calculation of crystalline HgBr at its relaxed geometry, from Alexandria via LeMat-Bulk.

Properties
DOS at the Fermi energy (states/eV/cell): 0.00

Structure (extended XYZ):
```
32
Lattice="-1.155 -4.031 -0.863 16.219 -7.257 12.193 -7.672 0.013 10.213" Properties=species:S:1:pos:R:3 pbc="T T T"
Hg -3.041 0.005 4.048
Hg -4.632 0.008 6.165
Hg 5.326 -6.440 17.648
Hg 6.917 -6.443 15.530
Hg 1.233 -3.617 15.251
Hg 7.314 -3.627 7.155
Hg 1.053 -2.818 6.445
Hg 2.643 -2.820 4.327
Hg -7.454 -2.004 8.723
Hg -1.373 -2.014 0.627
Hg 8.585 -8.462 12.110
Hg 10.175 -8.465 9.992
Hg 4.491 -5.639 9.713
Hg 2.900 -5.637 11.831
Hg -3.361 -4.827 11.120
Hg -1.770 -4.830 9.002
Br 13.442 -6.015 10.105
Br 2.777 -1.243 2.088
Br 12.735 -7.691 13.570
Br 7.180 -5.205 9.394
Br 1.496 -2.380 9.115
Br 7.051 -4.865 13.291
Br 0.789 -4.056 12.580
Br -4.766 -1.570 8.404
Br 9.028 -8.024 14.780
Br -1.636 -3.252 6.763
Br 8.321 -9.700 18.246
Br 2.766 -7.214 14.070
Br 4.755 -4.402 3.577
Br 10.309 -6.887 7.753
Br 4.048 -6.078 7.042
Br -1.507 -3.592 2.866
```

***

Going by the energies, <two> is most stable and the next is 42.0 kJ/mol of atoms up.

***

<one>
The following is a PBE-GGA calculation of crystalline HgBr at its relaxed geometry, from Alexandria via LeMat-Bulk.

Properties
DOS at the Fermi energy (states/eV/cell): 0.72

Structure (extended XYZ):
```
4
Lattice="0.951 0.480 9.223 4.780 0.589 7.938 2.569 3.970 7.990" Properties=species:S:1:pos:R:3 pbc="T T T"
Hg 2.472 1.501 7.491
Hg 5.828 3.538 17.660
Br 0.817 0.496 2.477
Br 7.483 4.543 22.674
```

***

<two>
The following is a PBE-GGA calculation of crystalline HgBr at its relaxed geometry, from Alexandria via LeMat-Bulk.

Properties
DOS at the Fermi energy (states/eV/cell): 0.00

Structure (extended XYZ):
```
4
Lattice="6.644 0.027 0.000 3.048 5.904 0.000 -4.846 -2.965 3.445" Properties=species:S:1:pos:R:3 pbc="T T T"
Hg 1.121 0.686 0.000
Hg 8.571 5.245 0.000
Br 3.328 2.037 0.000
Br 6.364 3.894 0.000
```

***

Going by the energies, <two> is most stable and the next is 13.5 kJ/mol of atoms up.

***

<one>
The following is a PBE-GGA calculation of crystalline Hg2Br at its relaxed geometry, from Alexandria via LeMat-Bulk.

Properties
DOS at the Fermi energy (states/eV/cell): 1.40

Structure (extended XYZ):
```
6
Lattice="2.037 -11.312 0.000 2.037 11.312 0.000 0.000 0.000 3.935" Properties=species:S:1:pos:R:3 pbc="T T T"
Hg 2.037 1.071 2.952
Hg 2.037 -1.071 0.984
Hg 2.037 -6.174 2.952
Hg 2.037 6.174 0.984
Br 2.037 8.756 2.952
Br 2.037 -8.756 0.984
```

***

<two>
The following is a PBE-GGA calculation of crystalline Hg2Br at its relaxed geometry, from Alexandria via LeMat-Bulk.

Properties
DOS at the Fermi energy (states/eV/cell): 2.56

Structure (extended XYZ):
```
6
Lattice="4.011 4.858 1.009 -5.924 0.211 2.359 1.790 -2.457 4.715" Properties=species:S:1:pos:R:3 pbc="T T T"
Hg 0.000 0.000 0.000
Hg 0.895 -1.229 2.357
Hg -1.270 -0.083 5.445
Hg 1.147 2.695 2.638
Br -2.165 1.146 3.088
Br 2.042 1.466 4.995
```

***

<three>
The following is a PBE-GGA calculation of crystalline Hg2Br at its relaxed geometry, from Alexandria via LeMat-Bulk.

Structure (extended XYZ):
```
6
Lattice="-2.386 0.001 5.126 1.571 -6.198 -0.989 5.997 3.036 -0.494" Properties=species:S:1:pos:R:3 pbc="T T T"
Hg 6.448 -2.828 -0.806
Hg -1.266 -0.333 4.450
Hg 1.160 -0.452 3.237
Hg 4.023 -2.709 0.407
Br 3.602 0.059 2.236
Br 1.581 -3.221 1.407
```

***

<four>
The following is a PBE-GGA calculation of crystalline Hg2Br at its relaxed geometry, from Alexandria via LeMat-Bulk.

Properties
DOS at the Fermi energy (states/eV/cell): 5.29

Structure (extended XYZ):
```
9
Lattice="4.534 -7.852 0.000 4.534 7.852 0.000 0.000 0.000 4.485" Properties=species:S:1:pos:R:3 pbc="T T T"
Hg 1.094 -1.894 0.000
Hg 1.094 1.894 0.000
Hg 6.880 0.000 0.000
Hg 2.006 -3.475 2.242
Hg 2.006 3.475 2.242
Hg 5.055 0.000 2.242
Br 4.534 2.617 0.000
Br 4.534 -2.617 0.000
Br 0.000 0.000 2.242
```

***

Going by the energies, <three> is most stable and the next is 6.2 kJ/mol of atoms up.

***

<one>
The following is a PBE-GGA calculation of crystalline Hg2Br at its relaxed geometry, from Alexandria via LeMat-Bulk.

Structure (extended XYZ):
```
6
Lattice="4.773 -0.005 0.002 -2.373 6.124 0.004 -0.015 -3.449 6.949" Properties=species:S:1:pos:R:3 pbc="T T T"
Hg 3.575 0.185 4.192
Hg -1.189 2.484 2.762
Hg -1.182 4.950 1.616
Hg 3.568 -2.281 5.339
Br 1.191 1.250 6.177
Br 1.195 1.419 0.778
```

***

<two>
The following is a PBE-GGA calculation of crystalline Hg2Br at its relaxed geometry, from Alexandria via LeMat-Bulk.

Properties
DOS at the Fermi energy (states/eV/cell): 10.04

Structure (extended XYZ):
```
12
Lattice="-5.222 4.974 -2.179 -2.312 -4.772 -5.351 -4.913 -3.041 4.834" Properties=species:S:1:pos:R:3 pbc="T T T"
Hg -6.510 -1.066 -2.697
Hg -5.938 -1.773 0.001
Hg -5.622 -5.561 -2.061
Hg -6.825 2.722 -0.636
Hg -2.830 1.092 -0.908
Hg -9.618 -3.931 -1.788
Hg -9.934 -0.143 0.273
Hg -2.514 -2.696 -2.970
Br 0.000 0.000 0.000
Br -3.767 0.101 -3.765
Br -5.068 0.966 1.327
Br -3.613 -3.907 -0.258
```

***

Going by the energies, <one> is most stable and the next is 18.5 kJ/mol of atoms up.

***

<one>
The following is a PBE-GGA calculation of crystalline Hg5Br at its relaxed geometry, from Alexandria via LeMat-Bulk.

Properties
DOS at the Fermi energy (states/eV/cell): 1.59

Structure (extended XYZ):
```
6
Lattice="10.358 -0.266 0.000 -9.306 4.556 0.000 0.000 0.000 4.050" Properties=species:S:1:pos:R:3 pbc="T T T"
Br 10.339 -0.261 0.000
Hg 3.913 1.314 0.000
Hg -1.924 2.746 0.000
Hg 1.761 1.842 2.025
Hg -4.966 3.492 2.025
Hg 7.143 0.522 2.025
```

***

<two>
The following is a PBE-GGA calculation of crystalline Hg5Br at its relaxed geometry, from Alexandria via LeMat-Bulk.

Properties
DOS at the Fermi energy (states/eV/cell): 2.72

Structure (extended XYZ):
```
6
Lattice="3.304 -5.722 0.000 3.304 5.722 0.000 0.000 0.000 4.796" Properties=species:S:1:pos:R:3 pbc="T T T"
Hg 3.304 1.907 0.000
Hg 3.304 -1.907 0.000
Hg 1.652 -2.861 2.398
Hg 1.652 2.861 2.398
Hg 3.304 0.000 2.398
Br 0.000 0.000 0.000
```

***

<three>
The following is a PBE-GGA calculation of crystalline Hg5Br at its relaxed geometry, from Alexandria via LeMat-Bulk.

Properties
DOS at the Fermi energy (states/eV/cell): 1.21

Structure (extended XYZ):
```
6
Lattice="4.196 0.000 0.000 -2.098 6.107 -1.534 0.000 0.589 6.799" Properties=species:S:1:pos:R:3 pbc="T T T"
Hg 0.000 0.440 1.817
Hg 2.098 2.603 2.049
Hg 0.000 4.765 2.280
Hg 0.000 4.684 -1.106
Hg 0.000 0.526 5.197
Br 2.098 2.900 5.447
```

***

Going by the energies, <three> is most stable and the next is 3.5 kJ/mol of atoms up.